The following is a PBE-GGA calculation of a geometry-optimized Ta3Ru structure, from Alexandria.

abc: 4.570 5.413 3.213
angles: 72.69 90.00 114.97
Positions (direct):
Ru (0.917, 0.000, 0.000)
Ta (0.162, 0.490, 0.255)
Ta (0.417, 0.000, 0.500)
Ta (0.672, 0.510, 0.745)

Computed properties:
* ΔE_f: -0.254 eV per atom
* space-group type: Immm (71)

The following is a PBE-GGA calculation of a geometry-optimized Ta3Ru structure, from Alexandria.

abc: 2.918 5.280 5.280
angles: 116.69 100.61 100.61
Positions (direct):
Ru (0.000, 0.000, 0.000)
Ta (0.500, 0.500, 0.000)
Ta (0.500, 0.000, 0.500)
Ta (0.000, 0.500, 0.500)

Computed properties:
* ΔE_f: -0.189 eV per atom
* space-group type: R-3m (166)

The following is a PBE-GGA calculation of a geometry-optimized TaRu3 structure, from Alexandria.

abc: 4.736 4.736 2.805
angles: 90.00 90.00 108.52
Positions (direct):
Ru (0.000, 0.000, 0.000)
Ru (0.000, 0.500, 0.500)
Ru (0.500, 0.000, 0.500)
Ta (0.500, 0.500, 0.000)

Computed properties:
* ΔE_f: -0.093 eV per atom
* space-group type: Cmmm (65)

The following is a PBE-GGA calculation of a geometry-optimized Ta5Ru4 structure, from Alexandria.

abc: 8.011 8.011 5.342
angles: 90.00 90.00 60.00
Positions (direct):
Ru (0.000, 0.000, 0.000)
Ru (0.000, 0.000, 0.500)
Ru (0.627, 0.373, 0.250)
Ru (0.000, 0.627, 0.250)
Ru (0.373, 0.000, 0.250)
Ru (0.373, 0.627, 0.750)
Ru (0.000, 0.373, 0.750)
Ru (0.627, 0.000, 0.750)
Ta (0.292, 0.708, 0.250)
Ta (0.000, 0.292, 0.250)
Ta (0.708, 0.000, 0.250)
Ta (0.708, 0.292, 0.750)
Ta (0.000, 0.708, 0.750)
Ta (0.292, 0.000, 0.750)
Ta (0.333, 0.333, 0.000)
Ta (0.667, 0.667, 0.500)
Ta (0.667, 0.667, 0.000)
Ta (0.333, 0.333, 0.500)

Computed properties:
* ΔE_f: -0.141 eV per atom
* space-group type: P6_3/mcm (193)

The following is a PBE-GGA calculation of a geometry-optimized TaRu3 structure, from Alexandria.

abc: 5.300 5.300 4.575
angles: 90.00 90.00 90.36
Positions (direct):
Ta (0.409, 0.591, 0.750)
Ta (0.591, 0.409, 0.250)
Ru (0.922, 0.078, 0.250)
Ru (0.078, 0.922, 0.750)
Ru (0.422, 0.920, 0.250)
Ru (0.578, 0.080, 0.750)
Ru (0.080, 0.578, 0.250)
Ru (0.920, 0.422, 0.750)

Computed properties:
* ΔE_f: 0.350 eV per atom
* space-group type: Cmcm (63)

The following is a PBE-GGA calculation of a geometry-optimized TaRu3 structure, from Alexandria.

abc: 3.897 4.796 3.897
angles: 66.03 90.00 113.97
Positions (direct):
Ru (0.000, 0.000, 0.000)
Ru (0.500, 0.000, 0.500)
Ru (0.750, 0.500, 0.750)
Ta (0.250, 0.500, 0.250)

Computed properties:
* ΔE_f: -0.147 eV per atom
* space-group type: I4/mmm (139)

| no. | electronic total energy (eV for the cell shown) |
| --- | --- |
| 1 | -45.848 |
| 2 | -45.589 |
| 3 | -40.052 |
| 4 | -195.269 |
| 5 | -76.558 |
| 6 | -40.270 |